This record from the Alexandria database describes crystalline Zr2ReSi at its relaxed geometry. The functional is PBE.

Uncorrected formation energy ... -282.9 meV per atom
Calculated density ... 9.02 g/cm³

a b c (Å): 3.266 3.266 6.845
angles (deg): 90.00 90.00 90.00
Space group P4mm (No. 99)
Unique sites:
Zr: 0.000 0.000 0.000
Zr: 0.500 0.500 0.312
Re: 0.000 0.000 0.571
Si: 0.500 0.500 0.733



This record from the Alexandria database describes crystalline ZrRe3Si at its relaxed geometry. The functional is PBE.

Uncorrected formation energy ... 2819.6 meV per atom
Polymorph energy (0 for the lowest one) ... 2178 meV/atom
Calculated density ... 10.12 g/cm³

a b c (Å): 4.809 4.809 4.809
angles (deg): 90.00 90.00 90.00
Space group Pm-3m (No. 221)
Unique sites:
Zr: 0.000 0.000 0.000
Re: 0.000 0.000 0.500
Si: 0.500 0.500 0.500



This record from the Alexandria database describes crystalline Zr2ReSi at its relaxed geometry. The functional is PBE.

Uncorrected formation energy ... 309.5 meV per atom
Calculated density ... 8.51 g/cm³

a b c (Å): 7.425 7.425 5.614
angles (deg): 90.00 90.00 90.00
Space group I-42d (No. 122)
Unique sites:
Zr: 0.239 0.250 0.125
Re: 0.000 0.000 0.000
Si: 0.000 0.000 0.500



This record from the Alexandria database describes crystalline Zr2ReSi at its relaxed geometry. The functional is PBE.

Uncorrected formation energy ... -212.3 meV per atom
Calculated density ... 9.08 g/cm³

a b c (Å): 3.537 4.856 8.452
angles (deg): 90.00 90.00 90.00
Space group Cmmm (No. 65)
Unique sites:
Zr: 0.000 0.000 0.246
Re: 0.000 0.500 0.500
Si: 0.000 0.500 0.000



This record from the Alexandria database describes crystalline Zr2ReSi at its relaxed geometry. The functional is PBE.

Uncorrected formation energy ... -92.9 meV per atom
Calculated density ... 8.71 g/cm³

a b c (Å): 3.2517 3.2517 24.7854
angles (deg): 90.00 90.00 120.00
Space group R-3m (No. 166, hexagonal axes)
Unique sites:
Zr: 0.0000 0.0000 0.2504
Re: 0.0000 0.0000 0.5000
Si: 0.0000 0.0000 0.0000



This record from the Alexandria database describes crystalline Zr2Re3Si4 at its relaxed geometry. The functional is PBE.

Uncorrected formation energy ... -580.5 meV per atom
Calculated density ... 10.23 g/cm³

a b c (Å): 6.637 6.607 6.764
angles (deg): 90.00 110.87 90.00
Space group P2_1/c (No. 14)
Unique sites:
Zr: 0.192 0.167 0.066
Re: 0.238 0.645 0.256
Re: 0.500 0.000 0.500
Si: 0.096 0.553 0.870
Si: 0.490 0.639 0.632



This record from the Alexandria database describes crystalline Zr2ReSi at its relaxed geometry. The functional is PBE.

Uncorrected formation energy ... 14.5 meV per atom
Calculated density ... 8.71 g/cm³

a b c (Å): 3.1978 3.1978 25.6167
angles (deg): 90.00 90.00 120.00
Space group R3m (No. 160, hexagonal axes)
Unique sites:
Zr: 0.0000 0.0000 0.0000
Zr: 0.0000 0.0000 0.2344
Re: 0.0000 0.0000 0.7526
Si: 0.0000 0.0000 0.4836



This record from the Alexandria database describes crystalline Zr2ReSi at its relaxed geometry. The functional is PBE.

Uncorrected formation energy ... -465.9 meV per atom
Calculated density ... 8.78 g/cm³

a b c (Å): 3.505 4.182 5.406
angles (deg): 90.00 108.64 90.00
Space group Pm (No. 6)
Unique sites:
Zr: 0.000 0.000 0.000
Zr: 0.280 0.500 0.573
Re: 0.566 0.500 0.124
Si: 0.713 0.000 0.433



This record from the Alexandria database describes crystalline ZrRe3Si at its relaxed geometry. The functional is PBE.

Uncorrected formation energy ... 641.5 meV per atom
Polymorph energy (0 for the lowest one) ... 0 meV/atom
Calculated density ... 12.78 g/cm³

a b c (Å): 4.450 4.450 4.450
angles (deg): 90.00 90.00 90.00
Space group Pm-3m (No. 221)
Unique sites:
Zr: 0.000 0.000 0.000
Re: 0.000 0.500 0.500
Si: 0.500 0.500 0.500



This record from the Alexandria database describes crystalline Zr2ReSi at its relaxed geometry. The functional is PBE.

Uncorrected formation energy ... -399.6 meV per atom
Calculated density ... 9.17 g/cm³

a b c (Å): 3.445 3.445 6.055
angles (deg): 90.00 90.00 90.00
Space group P4/mmm (No. 123)
Unique sites:
Zr: 0.000 0.000 0.245
Re: 0.500 0.500 0.500
Si: 0.500 0.500 0.000



This record from the Alexandria database describes crystalline Zr2ReSi at its relaxed geometry. The functional is PBE.

Uncorrected formation energy ... -361.4 meV per atom
Calculated density ... 9.19 g/cm³

a b c (Å): 4.484 4.484 3.568
angles (deg): 90.00 90.00 90.00
Space group P4/mmm (No. 123)
Unique sites:
Zr: 0.000 0.500 0.000
Re: 0.000 0.000 0.500
Si: 0.500 0.500 0.500



This record from the Alexandria database describes crystalline SmRe3 at its relaxed geometry. The functional is PBE.

Formation energy ... 0.47 eV/atom
Calculated density ... 16.98 g/cm³

a b c (Å): 6.521 6.521 6.521
angles (deg): 90.00 90.00 90.00
Space group Fm-3m (No. 225)
Unique sites:
Sm: 0.000 0.000 0.000
Re: 0.000 0.000 0.500
Re: 0.250 0.250 0.250



This record from the Alexandria database describes crystalline SmRe6 at its relaxed geometry. The functional is PBE.

Formation energy ... 0.08 eV/atom
Polymorph energy (0 for the lowest one) ... 0 meV/atom
Calculated density ... 17.26 g/cm³

a b c (Å): 8.549 5.261 10.846
angles (deg): 90.00 90.00 90.00
Space group Pnma (No. 62)
Unique sites:
Sm: 0.232 0.250 0.056
Re: 0.071 0.009 0.307
Re: 0.083 0.250 0.522
Re: 0.085 0.750 0.084
Re: 0.142 0.750 0.850
Re: 0.182 0.250 0.757



This record from the Alexandria database describes crystalline SmRe6 at its relaxed geometry. The functional is PBE.

Formation energy ... 1.01 eV/atom
Polymorph energy (0 for the lowest one) ... 929 meV/atom
Calculated density ... 12.82 g/cm³

a b c (Å): 6.899 6.899 6.899
angles (deg): 90.00 90.00 90.00
Space group Im-3m (No. 229)
Unique sites:
Sm: 0.000 0.000 0.000
Re: 0.000 0.250 0.500



This record from the Alexandria database describes crystalline SrSm3Re at its relaxed geometry. The functional is PBE.

Formation energy ... 0.21 eV/atom
Calculated density ... 6.73 g/cm³

a b c (Å): 5.633 5.633 5.633
angles (deg): 90.00 90.00 90.00
Space group Pm-3m (No. 221)
Unique sites:
Sr: 0.000 0.000 0.000
Sm: 0.000 0.500 0.500
Re: 0.500 0.500 0.500



This record from the Alexandria database describes crystalline SmTaRe at its relaxed geometry. The functional is PBE.

Formation energy ... 0.22 eV/atom
Calculated density ... 13.18 g/cm³

a b c (Å): 5.090 9.798 20.910
angles (deg): 90.00 90.00 90.00
Space group Fddd (No. 70, origin choice 2)
Unique sites:
Sm: 0.125 0.286 0.125
Ta: 0.125 0.125 0.536
Re: 0.125 0.125 0.001



This record from the Alexandria database describes crystalline TbSmRe at its relaxed geometry. The functional is PBE.

Formation energy ... 0.31 eV/atom
Calculated density ... 9.11 g/cm³

a b c (Å): 15.930 5.507 4.268
angles (deg): 90.00 105.26 90.00
Space group C2/m (No. 12)
Unique sites:
Tb: 0.100 0.000 0.351
Sm: 0.172 0.500 0.919
Re: 0.036 0.500 0.286



This record from the Alexandria database describes crystalline Sm2Re3Tc2 at its relaxed geometry. The functional is PBE.

Formation energy ... 0.19 eV/atom
Calculated density ... 11.84 g/cm³

a b c (Å): 10.959 4.225 7.367
angles (deg): 90.00 119.81 90.00
Space group C2/m (No. 12)
Unique sites:
Sm: 0.132 0.000 0.265
Re: 0.000 0.500 0.500
Re: 0.165 0.500 0.917
Tc: 0.131 0.000 0.693



This record from the Alexandria database describes crystalline SmRe3Tc3 at its relaxed geometry. The functional is PBE.

Formation energy ... 0.93 eV/atom
Calculated density ... 10.43 g/cm³

a b c (Å): 6.835 6.835 6.835
angles (deg): 90.00 90.00 90.00
Space group Pm-3n (No. 223)
Unique sites:
Sm: 0.000 0.000 0.000
Re: 0.000 0.250 0.500
Tc: 0.000 0.500 0.250



This record from the Alexandria database describes crystalline Sm2Re3Tc at its relaxed geometry. The functional is PBE.

Formation energy ... -0.05 eV/atom
Calculated density ... 13.73 g/cm³

a b c (Å): 9.292 5.387 5.604
angles (deg): 90.00 124.34 90.00
Space group C2/m (No. 12)
Unique sites:
Sm: 0.126 0.000 0.377
Re: 0.000 0.500 0.000
Re: 0.250 0.250 0.000
Tc: 0.000 0.500 0.500



| no. | total energy (eV per atom) | total magnetic moment (μB per cell) |
| --- | --- | --- |
| 1 | -9.02 | 0.0 |
| 2 | -7.44 | 2.8 |
| 3 | -8.43 | 0.0 |
| 4 | -8.95 | 0.0 |
| 5 | -8.83 | 0.0 |
| 6 | -9.04 | 0.0 |
| 7 | -8.73 | 0.0 |
| 8 | -9.21 | 0.0 |
| 9 | -9.62 | 0.0 |
| 10 | -9.14 | 0.0 |
| 11 | -9.10 | 0.0 |
| 12 | -10.04 | 0.0 |
| 13 | -11.26 | 0.0 |
| 14 | -10.33 | 0.0 |
| 15 | -5.44 | 0.0 |
| 16 | -9.45 | 0.0 |
| 17 | -6.96 | 0.0 |
| 18 | -9.45 | 0.0 |
| 19 | -9.52 | 0.0 |
| 20 | -9.57 | 0.0 |